# 1
Entry from the Alexandria database: a relaxed structure of Pm2DyAl9 (PBE).

The value obtained for the total magnetization is 0.0 μB/f.u. Its formation energy is -4.31 eV per formula unit.

The structure belongs to space group R-3m (No. 166, hexagonal axes); the cell edges are 5.6303, 5.6303 and 26.4291 Å and the angles 90.00°, 90.00° and 120.00°. The asymmetric unit holds Pm at (0.0000, 0.0000, 0.1418), Dy at (0.0000, 0.0000, 0.0000), Al at (0.0000, 0.0000, 0.3353), Al at (0.0000, 0.0000, 0.5000) and Al at (0.0073, 0.5037, 0.9175).

***

# 2
Entry from the Alexandria database: a relaxed structure of Pm2DyAl6 (PBE).

The value obtained for the total magnetization is 0.0 μB/f.u. Its formation energy is -4.37 eV per formula unit.

The structure belongs to space group P6/mmm (No. 191); the cell edges are 7.9568, 7.9568 and 3.5945 Å and the angles 90.00°, 90.00° and 120.00°. The asymmetric unit holds Pm at (0.3333, 0.6667, 0.0000), Dy at (0.0000, 0.0000, 0.0000) and Al at (0.0000, 0.3316, 0.5000).

***

# 3
Entry from the Alexandria database: a relaxed structure of PmDy6Al6 (PBE).

The value obtained for the total magnetization is 0.0 μB/f.u. Its formation energy is -4.02 eV per formula unit.

The structure belongs to space group P6/mmm (No. 191); the cell edges are 5.9208, 5.9208 and 10.5542 Å and the angles 90.00°, 90.00° and 120.00°. The asymmetric unit holds Pm at (0.0000, 0.0000, 0.0000), Dy at (0.0000, 0.0000, 0.3336), Dy at (0.3333, 0.6667, 0.0000), Dy at (0.3333, 0.6667, 0.5000) and Al at (0.0000, 0.5000, 0.2451).

***

# 4
Entry from the Alexandria database: a relaxed structure of PmDyAl2 (PBE).

The value obtained for the total magnetization is 0.0 μB/f.u. As for the energy above the most stable polymorph in this dataset: 7 meV/atom. Its formation energy is -1.51 eV per formula unit.

The structure belongs to space group Fm-3m (No. 225); the cell edges are 7.305, 7.305 and 7.305 Å and the angles 90.00°, 90.00° and 90.00°. The asymmetric unit holds Pm at (0.000, 0.000, 0.000), Dy at (0.000, 0.000, 0.500) and Al at (0.250, 0.250, 0.250).